(1)
Compound: Ca2ZnSi4Rh3
Source: Alexandria via LeMat-Bulk
Functional: PBE
Structure: optimized geometry

Calculated volume (Å³ per atom): 17.19
ΔE_f (raw) (kJ/mol of formula units): -687
Space group: P-4m2 (115)

a b c (Å): 4.1101 4.1101 10.1744
angles (deg): 90.00 90.00 90.00
Atoms (fractional coordinates):
1 Ca 0.0000 0.5000 0.2465
2 Ca 0.5000 0.0000 0.7535
3 Zn 0.0000 0.0000 0.5000
4 Si 0.0000 0.0000 0.0000
5 Si 0.0000 0.5000 0.6370
6 Si 0.5000 0.0000 0.3630
7 Si 0.5000 0.5000 0.0000
8 Rh 0.0000 0.5000 0.8758
9 Rh 0.5000 0.0000 0.1242
10 Rh 0.5000 0.5000 0.5000

=====

(2)
Compound: CaSm2Rh2
Source: Alexandria via LeMat-Bulk
Functional: PBE
Structure: optimized geometry

Calculated volume (Å³ per atom): 24.08
Space group: P4/mbm (127)
Formation enthalpy at 0 K (eV/atom): -0.585

a b c (Å): 8.0054 8.0054 3.7581
angles (deg): 90.00 90.00 90.00
Atoms (fractional coordinates):
1 Ca 0.0000 0.0000 0.0000
2 Ca 0.5000 0.5000 0.0000
3 Sm 0.1528 0.3472 0.5000
4 Sm 0.3472 0.8472 0.5000
5 Sm 0.6528 0.1528 0.5000
6 Sm 0.8472 0.6528 0.5000
7 Rh 0.1416 0.6416 0.0000
8 Rh 0.3584 0.1416 0.0000
9 Rh 0.6416 0.8584 0.0000
10 Rh 0.8584 0.3584 0.0000

=====

(3)
Compound: CaSm4Rh4
Source: Alexandria via LeMat-Bulk
Functional: PBE
Structure: optimized geometry

Calculated volume (Å³ per atom): 25.44
Space group: P4_2/n (86)
Formation enthalpy at 0 K (eV/atom): -0.543

a b c (Å): 8.9659 8.9659 5.6971
angles (deg): 90.00 90.00 90.00
Atoms (fractional coordinates):
1 Ca 0.2500 0.2500 0.2500
2 Ca 0.7500 0.7500 0.7500
3 Sm 0.0685 0.6625 0.1543
4 Sm 0.1625 0.9315 0.6543
5 Sm 0.3375 0.5685 0.6543
6 Sm 0.4315 0.8375 0.1543
7 Sm 0.5685 0.1625 0.8457
8 Sm 0.6625 0.4315 0.3457
9 Sm 0.8375 0.0685 0.3457
10 Sm 0.9315 0.3375 0.8457
11 Rh 0.0328 0.6231 0.6507
12 Rh 0.1231 0.9672 0.1507
13 Rh 0.3769 0.5328 0.1507
14 Rh 0.4672 0.8769 0.6507
15 Rh 0.5328 0.1231 0.3493
16 Rh 0.6231 0.4672 0.8493
17 Rh 0.8769 0.0328 0.8493
18 Rh 0.9672 0.3769 0.3493